VASP calculation (GGA-PBE) on an optimized crystal structure of Pr5MgCu4.

abc: 3.6306 3.6306 18.9414
angles: 90.00 90.00 90.00
Closest atoms and distances in Å follow each position.
Fractional positions:
Pr (0.0000, 0.0000, 0.0000)  8 Cu 3.14
Pr (0.0000, 0.0000, 0.1917)  8 Cu 3.15-3.16
Pr (0.0000, 0.0000, 0.3806)  4 Cu 3.10, 4 Mg 3.42
Pr (0.0000, 0.0000, 0.6194)  4 Cu 3.10, 4 Mg 3.42
Pr (0.0000, 0.0000, 0.8083)  8 Cu 3.15-3.16
Mg (0.5000, 0.5000, 0.5000)  8 Pr 3.42, 4 Mg 3.63
Cu (0.5000, 0.5000, 0.0953)  8 Pr 3.14-3.15
Cu (0.5000, 0.5000, 0.2886)  8 Pr 3.10-3.16
Cu (0.5000, 0.5000, 0.7114)  8 Pr 3.10-3.16
Cu (0.5000, 0.5000, 0.9047)  8 Pr 3.14-3.15

Computed properties:
D(E_F)   10.18 states/eV per cell
Formation energy   -0.111 eV per atom